No. 1
VASP calculation (PBE-GGA) on a relaxed structure of YFeReSn.

Summary:
- uncorrected energy (eV/cell) = -119.83

a = 6.628 Å, b = 6.628 Å, c = 6.628 Å
α = 90.00°, β = 90.00°, γ = 90.00°
Fractional positions:
Y (0.000, 0.000, 0.000)
Y (0.000, 0.500, 0.500)
Y (0.500, 0.000, 0.500)
Y (0.500, 0.500, 0.000)
Fe (0.250, 0.250, 0.750)
Fe (0.250, 0.750, 0.250)
Fe (0.750, 0.250, 0.250)
Fe (0.750, 0.750, 0.750)
Re (0.250, 0.250, 0.250)
Re (0.250, 0.750, 0.750)
Re (0.750, 0.250, 0.750)
Re (0.750, 0.750, 0.250)
Sn (0.000, 0.000, 0.500)
Sn (0.000, 0.500, 0.000)
Sn (0.500, 0.000, 0.000)
Sn (0.500, 0.500, 0.500)

No. 2
VASP calculation (PBE-GGA) on a relaxed structure of SrPaBi.

Summary:
- uncorrected energy (eV/cell) = -56.33

a = 7.680 Å, b = 7.680 Å, c = 7.680 Å
α = 90.00°, β = 90.00°, γ = 90.00°
Fractional positions:
Sr (0.000, 0.000, 0.000)
Sr (0.000, 0.500, 0.500)
Sr (0.500, 0.000, 0.500)
Sr (0.500, 0.500, 0.000)
Pa (0.000, 0.000, 0.500)
Pa (0.000, 0.500, 0.000)
Pa (0.500, 0.000, 0.000)
Pa (0.500, 0.500, 0.500)
Bi (0.250, 0.250, 0.750)
Bi (0.250, 0.750, 0.250)
Bi (0.750, 0.250, 0.250)
Bi (0.750, 0.750, 0.750)

No. 3
VASP calculation (PBE-GGA) on a relaxed structure of NdB3Te.

Summary:
- uncorrected energy (eV/cell) = -17.02

a = 4.871 Å, b = 4.871 Å, c = 4.871 Å
α = 90.00°, β = 90.00°, γ = 90.00°
Fractional positions:
Nd (0.000, 0.000, 0.000)
B (0.000, 0.000, 0.500)
B (0.000, 0.500, 0.000)
B (0.500, 0.000, 0.000)
Te (0.500, 0.500, 0.500)

No. 4
VASP calculation (PBE-GGA) on a relaxed structure of HfCdW.

Summary:
- uncorrected energy (eV/cell) = -81.79

a = 6.542 Å, b = 6.542 Å, c = 6.542 Å
α = 90.00°, β = 90.00°, γ = 90.00°
Fractional positions:
Hf (0.000, 0.000, 0.000)
Hf (0.000, 0.500, 0.500)
Hf (0.500, 0.000, 0.500)
Hf (0.500, 0.500, 0.000)
Cd (0.000, 0.000, 0.500)
Cd (0.000, 0.500, 0.000)
Cd (0.500, 0.000, 0.000)
Cd (0.500, 0.500, 0.500)
W (0.250, 0.250, 0.750)
W (0.250, 0.750, 0.250)
W (0.750, 0.250, 0.250)
W (0.750, 0.750, 0.750)

No. 5
VASP calculation (PBE-GGA) on a relaxed structure of BaHoEr.

Summary:
- uncorrected energy (eV/cell) = -34.24

a = 8.132 Å, b = 8.132 Å, c = 8.132 Å
α = 90.00°, β = 90.00°, γ = 90.00°
Fractional positions:
Ba (0.000, 0.000, 0.000)
Ba (0.000, 0.500, 0.500)
Ba (0.500, 0.000, 0.500)
Ba (0.500, 0.500, 0.000)
Ho (0.000, 0.000, 0.500)
Ho (0.000, 0.500, 0.000)
Ho (0.500, 0.000, 0.000)
Ho (0.500, 0.500, 0.500)
Er (0.250, 0.250, 0.250)
Er (0.250, 0.750, 0.750)
Er (0.750, 0.250, 0.750)
Er (0.750, 0.750, 0.250)

No. 6
VASP calculation (PBE-GGA) on a relaxed structure of Hg2PdAu.

Summary:
- uncorrected energy (eV/cell) = -35.48

a = 6.721 Å, b = 6.721 Å, c = 6.721 Å
α = 90.00°, β = 90.00°, γ = 90.00°
Fractional positions:
Hg (0.000, 0.000, 0.000)
Hg (0.000, 0.500, 0.500)
Hg (0.250, 0.250, 0.250)
Hg (0.250, 0.750, 0.750)
Hg (0.500, 0.000, 0.500)
Hg (0.500, 0.500, 0.000)
Hg (0.750, 0.250, 0.750)
Hg (0.750, 0.750, 0.250)
Pd (0.000, 0.000, 0.500)
Pd (0.000, 0.500, 0.000)
Pd (0.500, 0.000, 0.000)
Pd (0.500, 0.500, 0.500)
Au (0.250, 0.250, 0.750)
Au (0.250, 0.750, 0.250)
Au (0.750, 0.250, 0.250)
Au (0.750, 0.750, 0.750)

No. 7
VASP calculation (PBE-GGA) on a relaxed structure of BaIn2HgPd.

Summary:
- uncorrected energy (eV/cell) = -30.69

a = 4.907 Å, b = 4.907 Å, c = 11.413 Å
α = 90.00°, β = 90.00°, γ = 90.00°
Fractional positions:
Ba (0.250, 0.250, 0.246)
Ba (0.750, 0.750, 0.754)
In (0.250, 0.250, 0.651)
In (0.250, 0.750, 0.000)
In (0.750, 0.250, 0.000)
In (0.750, 0.750, 0.349)
Hg (0.250, 0.750, 0.500)
Hg (0.750, 0.250, 0.500)
Pd (0.250, 0.250, 0.887)
Pd (0.750, 0.750, 0.113)

No. 8
VASP calculation (PBE-GGA) on a relaxed structure of SmTmTlTe3.

Summary:
- uncorrected energy (eV/cell) = -53.25

a = 7.962 Å, b = 7.962 Å, c = 12.067 Å
α = 90.00°, β = 90.00°, γ = 148.03°
Fractional positions:
Sm (0.074, 0.926, 0.750)
Sm (0.926, 0.074, 0.250)
Tm (0.500, 0.500, 0.000)
Tm (0.500, 0.500, 0.500)
Tl (0.242, 0.758, 0.250)
Tl (0.758, 0.242, 0.750)
Te (0.142, 0.858, 0.518)
Te (0.142, 0.858, 0.982)
Te (0.436, 0.564, 0.750)
Te (0.564, 0.436, 0.250)
Te (0.858, 0.142, 0.018)
Te (0.858, 0.142, 0.482)

No. 9
VASP calculation (PBE-GGA) on a relaxed structure of Ho2PbS4.

Summary:
- uncorrected energy (eV/cell) = -163.25

a = 12.010 Å, b = 3.972 Å, c = 14.311 Å
α = 90.00°, β = 90.00°, γ = 90.00°
Fractional positions:
Ho (0.066, 0.250, 0.111)
Ho (0.082, 0.250, 0.600)
Ho (0.418, 0.750, 0.100)
Ho (0.434, 0.750, 0.611)
Ho (0.566, 0.250, 0.389)
Ho (0.582, 0.250, 0.900)
Ho (0.918, 0.750, 0.400)
Ho (0.934, 0.750, 0.889)
Pb (0.241, 0.250, 0.337)
Pb (0.259, 0.750, 0.837)
Pb (0.741, 0.250, 0.163)
Pb (0.759, 0.750, 0.663)
S (0.023, 0.750, 0.715)
S (0.086, 0.250, 0.923)
S (0.129, 0.750, 0.472)
S (0.207, 0.750, 0.172)
S (0.293, 0.250, 0.672)
S (0.371, 0.250, 0.972)
S (0.414, 0.750, 0.423)
S (0.477, 0.250, 0.215)
S (0.523, 0.750, 0.785)
S (0.586, 0.250, 0.577)
S (0.629, 0.750, 0.028)
S (0.707, 0.750, 0.328)
S (0.793, 0.250, 0.828)
S (0.871, 0.250, 0.528)
S (0.914, 0.750, 0.077)
S (0.977, 0.250, 0.285)

No. 10
VASP calculation (PBE-GGA) on a relaxed structure of AuBr6Cl.

Summary:
- uncorrected energy (eV/cell) = -12.55

a = 7.095 Å, b = 7.095 Å, c = 7.095 Å
α = 60.00°, β = 60.00°, γ = 60.00°
Fractional positions:
Au (0.000, 0.000, 0.000)
Br (0.254, 0.254, 0.746)
Br (0.254, 0.746, 0.254)
Br (0.254, 0.746, 0.746)
Br (0.746, 0.254, 0.254)
Br (0.746, 0.254, 0.746)
Br (0.746, 0.746, 0.254)
Cl (0.250, 0.250, 0.250)

No. 11
VASP calculation (PBE-GGA) on a relaxed structure of BaMgInAu.

Summary:
- uncorrected energy (eV/cell) = -41.43

a = 7.499 Å, b = 7.499 Å, c = 7.499 Å
α = 90.00°, β = 90.00°, γ = 90.00°
Fractional positions:
Ba (0.000, 0.000, 0.000)
Ba (0.000, 0.500, 0.500)
Ba (0.500, 0.000, 0.500)
Ba (0.500, 0.500, 0.000)
Mg (0.250, 0.250, 0.750)
Mg (0.250, 0.750, 0.250)
Mg (0.750, 0.250, 0.250)
Mg (0.750, 0.750, 0.750)
In (0.250, 0.250, 0.250)
In (0.250, 0.750, 0.750)
In (0.750, 0.250, 0.750)
In (0.750, 0.750, 0.250)
Au (0.000, 0.000, 0.500)
Au (0.000, 0.500, 0.000)
Au (0.500, 0.000, 0.000)
Au (0.500, 0.500, 0.500)

No. 12
VASP calculation (PBE-GGA) on a relaxed structure of ZrFeSi.

Summary:
- uncorrected energy (eV/cell) = -98.22

a = 6.433 Å, b = 3.980 Å, c = 6.963 Å
α = 90.00°, β = 90.00°, γ = 90.00°
Fractional positions:
Zr (0.008, 0.250, 0.197)
Zr (0.492, 0.750, 0.697)
Zr (0.508, 0.250, 0.303)
Zr (0.992, 0.750, 0.803)
Fe (0.155, 0.750, 0.435)
Fe (0.345, 0.250, 0.935)
Fe (0.655, 0.750, 0.065)
Fe (0.845, 0.250, 0.565)
Si (0.208, 0.250, 0.604)
Si (0.292, 0.750, 0.104)
Si (0.708, 0.250, 0.896)
Si (0.792, 0.750, 0.396)

No. 13
VASP calculation (PBE-GGA) on a relaxed structure of PaTaCu.

Summary:
- uncorrected energy (eV/cell) = -92.73

a = 6.321 Å, b = 6.321 Å, c = 6.321 Å
α = 90.00°, β = 90.00°, γ = 90.00°
Fractional positions:
Pa (0.000, 0.000, 0.000)
Pa (0.000, 0.500, 0.500)
Pa (0.500, 0.000, 0.500)
Pa (0.500, 0.500, 0.000)
Ta (0.000, 0.000, 0.500)
Ta (0.000, 0.500, 0.000)
Ta (0.500, 0.000, 0.000)
Ta (0.500, 0.500, 0.500)
Cu (0.250, 0.250, 0.250)
Cu (0.250, 0.750, 0.750)
Cu (0.750, 0.250, 0.750)
Cu (0.750, 0.750, 0.250)

No. 14
VASP calculation (PBE-GGA) on a relaxed structure of NdIr.

Summary:
- uncorrected energy (eV/cell) = -52.72

a = 6.374 Å, b = 6.374 Å, c = 6.374 Å
α = 90.00°, β = 90.00°, γ = 90.00°
Fractional positions:
Nd (0.000, 0.000, 0.000)
Nd (0.000, 0.500, 0.500)
Nd (0.500, 0.000, 0.500)
Nd (0.500, 0.500, 0.000)
Ir (0.250, 0.250, 0.750)
Ir (0.250, 0.750, 0.250)
Ir (0.750, 0.250, 0.250)
Ir (0.750, 0.750, 0.750)

No. 15
VASP calculation (PBE-GGA) on a relaxed structure of YZrPO.

Summary:
- uncorrected energy (eV/cell) = -62.61

a = 4.138 Å, b = 4.138 Å, c = 8.017 Å
α = 90.00°, β = 90.00°, γ = 90.00°
Fractional positions:
Y (0.250, 0.750, 0.000)
Y (0.750, 0.250, 0.000)
Zr (0.250, 0.250, 0.388)
Zr (0.750, 0.750, 0.612)
P (0.250, 0.250, 0.770)
P (0.750, 0.750, 0.230)
O (0.250, 0.750, 0.500)
O (0.750, 0.250, 0.500)

No. 16
VASP calculation (PBE-GGA) on a relaxed structure of Nd2DyIn3AgPt2.

Summary:
- uncorrected energy (eV/cell) = -44.49

a = 3.922 Å, b = 7.870 Å, c = 7.870 Å
α = 119.80°, β = 90.00°, γ = 90.00°
Fractional positions:
Nd (0.000, 0.206, 0.794)
Nd (0.000, 0.794, 0.206)
Dy (0.000, 0.380, 0.380)
In (0.500, 0.059, 0.059)
In (0.500, 0.529, 0.791)
In (0.500, 0.791, 0.529)
Ag (0.000, 0.791, 0.791)
Pt (0.500, 0.133, 0.458)
Pt (0.500, 0.458, 0.133)

No. 17
VASP calculation (PBE-GGA) on a relaxed structure of NdHo2Zn3AgHg2.

Summary:
- uncorrected energy (eV/cell) = -24.28

a = 4.083 Å, b = 7.579 Å, c = 7.579 Å
α = 120.35°, β = 90.00°, γ = 90.00°
Fractional positions:
Nd (0.000, 0.000, 0.000)
Ho (0.000, 0.406, 0.809)
Ho (0.000, 0.809, 0.406)
Zn (0.500, 0.164, 0.409)
Zn (0.500, 0.409, 0.164)
Zn (0.500, 0.651, 0.651)
Ag (0.000, 0.413, 0.413)
Hg (0.500, 0.077, 0.734)
Hg (0.500, 0.734, 0.077)

No. 18
VASP calculation (PBE-GGA) on a relaxed structure of LaSmPu.

Summary:
- uncorrected energy (eV/cell) = -86.46

a = 7.391 Å, b = 7.391 Å, c = 7.391 Å
α = 90.00°, β = 90.00°, γ = 90.00°
Fractional positions:
La (0.000, 0.000, 0.000)
La (0.000, 0.500, 0.500)
La (0.500, 0.000, 0.500)
La (0.500, 0.500, 0.000)
Sm (0.250, 0.250, 0.250)
Sm (0.250, 0.750, 0.750)
Sm (0.750, 0.250, 0.750)
Sm (0.750, 0.750, 0.250)
Pu (0.250, 0.250, 0.750)
Pu (0.250, 0.750, 0.250)
Pu (0.750, 0.250, 0.250)
Pu (0.750, 0.750, 0.750)

No. 19
VASP calculation (PBE-GGA) on a relaxed structure of RbPrSO.

Summary:
- uncorrected energy (eV/cell) = -94.17

a = 7.904 Å, b = 7.726 Å, c = 6.809 Å
α = 90.00°, β = 104.32°, γ = 90.00°
Fractional positions:
Rb (0.082, 0.243, 0.009)
Rb (0.082, 0.257, 0.509)
Rb (0.918, 0.743, 0.491)
Rb (0.918, 0.757, 0.991)
Pr (0.469, 0.627, 0.269)
Pr (0.469, 0.873, 0.769)
Pr (0.531, 0.127, 0.231)
Pr (0.531, 0.373, 0.731)
S (0.252, 0.588, 0.845)
S (0.252, 0.912, 0.345)
S (0.748, 0.088, 0.655)
S (0.748, 0.412, 0.155)
O (0.396, 0.148, 0.881)
O (0.396, 0.352, 0.381)
O (0.604, 0.648, 0.619)
O (0.604, 0.852, 0.119)

No. 20
VASP calculation (PBE-GGA) on a relaxed structure of ZrAsAuO.

Summary:
- uncorrected energy (eV/cell) = -48.70

a = 5.502 Å, b = 5.502 Å, c = 4.665 Å
α = 90.00°, β = 90.00°, γ = 90.00°
Fractional positions:
Zr (0.250, 0.750, 0.000)
Zr (0.750, 0.250, 0.000)
As (0.250, 0.250, 0.125)
As (0.750, 0.750, 0.875)
Au (0.250, 0.250, 0.630)
Au (0.750, 0.750, 0.370)
O (0.250, 0.750, 0.500)
O (0.750, 0.250, 0.500)